A plane-wave DFT calculation with PBE was carried out for Er2BeRh after structural relaxation.

Summary:
total DFT energy (no corrections) = -21.87 eV per cell
energy relative to the elements = -40.14 kJ/mol of atoms
E above lowest polymorph = 2 kJ/mol of formula units

Structure (POSCAR):
```
Er2BeRh
1.0
-0.925 -4.690 0.430
-0.520 -2.713 -3.925
3.363 -3.225 -1.151
Er Be Rh
2 1 1
Direct
0.250 0.250 0.250
0.750 0.750 0.750
0.500 0.500 0.500
0.000 0.000 0.000
```